Compound: WI2O
Source: the Alexandria database
Functional: PBE with a Hubbard U
Structure: relaxed

energy above the lowest structure with this stoichiometry = 0.058 eV per atom
size of the total moment = 2.000 μB/f.u.
uncorrected energy = -12.19 eV per cell

Cell lengths 4.8654, 4.8654, 4.8654 Å; angles 60.00, 60.00, 60.00 degrees
Sites, in units of the cell vectors:
I (0.2500, 0.2500, 0.2500)
I (0.7500, 0.7500, 0.7500)
O (0.0000, 0.0000, 0.0000)
W (0.5000, 0.5000, 0.5000)